[1]
Zr2ScBe after structural relaxation. Source: Alexandria, functional GGA-PBE.

Calculated values
Energy relative to the elements (eV per atom): 0.272
Volume (Å³ per atom): 19.8
Magnetization (Bohr magnetons per cell): 1.3

a = 4.8202 Å, b = 4.8202 Å, c = 4.8202 Å
α = 60.00°, β = 60.00°, γ = 60.00°
With the nearest neighbours (Å) after each atom.
Atoms (fractional coordinates):
Zr: 0.0000 0.0000 0.0000  4 Zr 2.95, 4 Be 2.95
Zr: 0.2500 0.2500 0.2500  4 Zr 2.95, 4 Sc 2.95
Sc: 0.5000 0.5000 0.5000  4 Zr 2.95, 4 Be 2.95
Be: 0.7500 0.7500 0.7500  4 Zr 2.95, 4 Sc 2.95

[2]
Zr2ScBe after structural relaxation. Source: Alexandria, functional GGA-PBE.

Calculated values
Energy relative to the elements (eV per atom): 0.028
Volume (Å³ per atom): 19.7
Magnetization (Bohr magnetons per cell): 0.0

a = 5.8448 Å, b = 5.8448 Å, c = 5.8448 Å
α = 147.54°, β = 131.98°, γ = 59.16°
With the nearest neighbours (Å) after each atom.
Atoms (fractional coordinates):
Zr: 0.0000 0.0000 0.0000  2 Be 2.69, 4 Sc 3.00
Zr: 0.7092 0.2092 0.5000  4 Be 2.89, 2 Sc 3.19, 2 Zr 3.19
Sc: 0.4180 0.4180 0.0000  2 Be 2.67
Be: 0.2104 0.7104 0.5000  2 Sc 2.67, 6 Zr 2.69-2.89

[3]
Zr2ScBe after structural relaxation. Source: Alexandria, functional GGA-PBE.

Calculated values
Energy relative to the elements (eV per atom): 0.018
Volume (Å³ per atom): 19.8
Magnetization (Bohr magnetons per cell): 0.0

a = 3.1362 Å, b = 3.1362 Å, c = 8.0399 Å
α = 90.00°, β = 90.00°, γ = 90.00°
With the nearest neighbours (Å) after each atom.
Atoms (fractional coordinates):
Zr: 0.0000 0.0000 0.2066  4 Be 2.77
Zr: 0.0000 0.0000 0.7934  4 Be 2.77
Sc: 0.5000 0.5000 0.5000  4 Sc 3.14, 8 Zr 3.24
Be: 0.5000 0.5000 0.0000  8 Zr 2.77

Summary of DOS(E_F) in states/eV/f.u.
6.7; 3.3; 5.4
(order as listed above)